1) An optimized crystal structure of BSe2NCl. Source: the Alexandria database, functional GGA-PBE.

Summary:
Fermi-level density of states	0.643	states/eV per atom
total magnetic moment	0.00	μB per formula unit

abc: 5.3715 5.3715 3.3192
angles: 90.00 90.00 90.00
Closest atoms and distances in Å follow each position.
Sites, in units of the cell vectors:
B: 0.0000 0.0000 0.0000  8 Se 3.16, 2 B 3.32
Se: 0.0000 0.5000 0.5000  2 Cl 2.69
Se: 0.5000 0.0000 0.5000  2 Cl 2.69
N: 0.5000 0.5000 0.0000  2 Cl 1.66
Cl: 0.5000 0.5000 0.5000  2 N 1.66

=====

2) An optimized crystal structure of BSe2NCl. Source: the Alexandria database, functional GGA-PBE.

Summary:
Fermi-level density of states	0.462	states/eV per atom
total magnetic moment	0.29	μB per formula unit

abc: 8.0309 8.0309 2.5188
angles: 90.00 90.00 90.00
Closest atoms and distances in Å follow each position.
Sites, in units of the cell vectors:
B: 0.0000 0.0000 0.0000  2 N 1.26
Se: 0.0000 0.5000 0.0000  2 Se 2.52
Se: 0.5000 0.0000 0.0000  2 Se 2.52
N: 0.0000 0.0000 0.5000  2 B 1.26
Cl: 0.5000 0.5000 0.5000  2 Cl 2.52

=====

So which one wins? Going from most stable to least: 2), 1).

=====

1) An optimized crystal structure of BTeN2Cl. Source: the Alexandria database, functional GGA-PBE.

Summary:
Fermi-level density of states	0.382	states/eV per atom
total magnetic moment	0.00	μB per formula unit

abc: 3.5700 3.5700 5.2360
angles: 90.00 90.00 90.00
Closest atoms and distances in Å follow each position.
Sites, in units of the cell vectors:
B: 0.0000 0.0000 0.0000  4 N 1.78
Te: 0.0000 0.0000 0.5000  4 Cl 2.52, 2 B 2.62
N: 0.0000 0.5000 0.0000  2 B 1.78
N: 0.5000 0.0000 0.0000  2 B 1.78
Cl: 0.5000 0.5000 0.5000  4 Te 2.52

=====

2) An optimized crystal structure of BTeN2Cl. Source: the Alexandria database, functional GGA-PBE.

Summary:
Fermi-level density of states	0.327	states/eV per atom
total magnetic moment	0.40	μB per formula unit

abc: 3.5023 3.5023 7.6371
angles: 90.00 90.00 90.00
Closest atoms and distances in Å follow each position.
Sites, in units of the cell vectors:
B: 0.0000 0.0000 0.0000  4 Te 2.48
Te: 0.5000 0.5000 0.0000  4 B 2.48
N: 0.0000 0.5000 0.5000  2 Cl 1.75
N: 0.5000 0.0000 0.5000  2 Cl 1.75
Cl: 0.5000 0.5000 0.5000  4 N 1.75

=====

3) An optimized crystal structure of BTeN2Cl. Source: the Alexandria database, functional GGA-PBE.

Summary:
Fermi-level density of states	0.426	states/eV per atom
total magnetic moment	0.00	μB per formula unit

abc: 3.7495 3.7495 4.0311
angles: 90.00 90.00 90.00
Closest atoms and distances in Å follow each position.
Sites, in units of the cell vectors:
B: 0.0000 0.0000 0.0000  4 N 1.87, 2 Cl 2.02
Te: 0.5000 0.5000 0.5000  4 Cl 2.65, 8 N 2.75
N: 0.0000 0.5000 0.0000  2 B 1.87
N: 0.5000 0.0000 0.0000  2 B 1.87
Cl: 0.0000 0.0000 0.5000  2 B 2.02

=====

So which one wins? Going from most stable to least: 3), 1), 2).